Here is a geometry-optimized AsPtBr2 structure from the Alexandria database. Energies are from PBE-GGA.

The space group is Pm (No. 6) and the conventional cell measures 5.261, 3.654 and 5.452 Å, with angles of 90.00, 104.50 and 90.00 degrees. The inequivalent atoms are As at (0.000, 0.000, 0.000), Pt at (0.300, 0.500, 0.166), Br at (0.299, 0.500, 0.658) and Br at (0.694, 0.000, 0.309).

The uncorrected formation energy comes out at -194.0 meV/atom. The mass density is 7.03 g cm⁻³.

---

Here is a geometry-optimized AsPtBr2 structure from the Alexandria database. Energies are from PBE-GGA.

The space group is Fm-3m (No. 225) and the conventional cell measures 6.908, 6.908 and 6.908 Å, with angles of 90.00, 90.00 and 90.00 degrees. The inequivalent atoms are As at (0.000, 0.000, 0.000), Pt at (0.000, 0.000, 0.500) and Br at (0.250, 0.250, 0.250).

The uncorrected formation energy comes out at 734.8 meV/atom. The mass density is 8.66 g cm⁻³.

---

Here is a geometry-optimized AsPtBr2 structure from the Alexandria database. Energies are from PBE-GGA.

The space group is Fmmm (No. 69) and the conventional cell measures 6.268, 7.548 and 7.693 Å, with angles of 90.00, 90.00 and 90.00 degrees. The inequivalent atoms are As at (0.000, 0.000, 0.000), Pt at (0.000, 0.000, 0.500) and Br at (0.000, 0.250, 0.250).

The uncorrected formation energy comes out at 440.3 meV/atom. The mass density is 7.84 g cm⁻³.

---

Here is a geometry-optimized As2PtBr structure from the Alexandria database. Energies are from PBE-GGA.

The space group is R3m (No. 160, hexagonal axes) and the conventional cell measures 3.4883, 3.4883 and 27.2346 Å, with angles of 90.00, 90.00 and 120.00 degrees. The inequivalent atoms are As at (0.0000, 0.0000, 0.0000), As at (0.0000, 0.0000, 0.2608), Pt at (0.0000, 0.0000, 0.5411) and Br at (0.0000, 0.0000, 0.8081).

The uncorrected formation energy comes out at 83.0 meV/atom. The mass density is 7.37 g cm⁻³.

---

Here is a geometry-optimized As2PtBr structure from the Alexandria database. Energies are from PBE-GGA.

The space group is Cmm2 (No. 35) and the conventional cell measures 3.782, 5.930 and 7.646 Å, with angles of 90.00, 90.00 and 90.00 degrees. The inequivalent atoms are As at (0.000, 0.000, 0.000), As at (0.000, 0.500, 0.242), Pt at (0.000, 0.500, 0.798) and Br at (0.000, 0.000, 0.544).

The uncorrected formation energy comes out at 335.3 meV/atom. The mass density is 8.23 g cm⁻³.

---

Here is a geometry-optimized As2PtBr structure from the Alexandria database. Energies are from PBE-GGA.

The space group is R-3m (No. 166, hexagonal axes) and the conventional cell measures 3.9339, 3.9339 and 20.3220 Å, with angles of 90.00, 90.00 and 120.00 degrees. The inequivalent atoms are As at (0.0000, 0.0000, 0.2220), Pt at (0.0000, 0.0000, 0.5000) and Br at (0.0000, 0.0000, 0.0000).

The uncorrected formation energy comes out at -189.3 meV/atom. The mass density is 7.77 g cm⁻³.

---

Q: What is the mass density in the third record?
A: 7.84 g cm⁻³

---

Q: Which value of mass density does entry 4 give?
A: 7.37 g cm⁻³